Record 1
This record from OQMD describes an optimized crystal structure of NaNiH4. The functional is PBE.

Properties
The crystal system is tetragonal. The total energy comes out at -39.1 eV for the cell shown.

```
NaNiH4
1.0
-2.3089 2.3089 4.1310
2.3089 -2.3089 4.1310
2.3089 2.3089 -4.1310
H Na Ni
8 2 2
Cartesian
1.5539 -1.1640 5.1845
-1.1449 1.5539 3.1190
1.1449 0.7551 -1.0535
0.7550 1.1640 1.0120
1.5539 1.1449 5.1430
1.1640 1.5539 3.0775
3.4539 0.7550 -1.0120
0.7550 3.4729 1.0535
0.0000 0.0000 4.1310
2.3089 0.0000 2.0655
0.0000 0.0000 0.0000
0.0000 2.3089 2.0655
```


Record 2
This record from OQMD describes an optimized crystal structure of Y2FeN. The functional is PBE.

Properties
The crystal system is monoclinic. The total energy comes out at -192.0 eV for the cell shown.

```
Y2FeN
1.0
5.1744 -2.9932 0.0000
5.1744 2.9932 0.0000
-3.4900 0.0000 14.1592
Fe N Y
6 6 12
Cartesian
6.4015 -0.7354 3.5340
4.3019 -1.6642 3.5398
2.2024 -0.7354 3.5456
4.6565 0.7354 10.6136
2.5569 1.6642 10.6194
0.4574 0.7354 10.6252
2.5872 1.4966 0.0000
6.0214 1.4602 0.0480
2.5825 1.4601 7.0316
0.8422 -1.4966 7.0796
4.2764 -1.4602 7.1276
0.8375 -1.4602 14.1112
0.8614 0.5192 1.3207
7.7480 0.4949 1.3398
4.3257 0.4754 1.5455
4.2782 0.4754 5.5341
0.8559 0.4949 5.7398
7.7425 0.5192 5.7589
-0.8836 -0.5192 8.4003
6.0030 -0.4949 8.4194
2.5807 -0.4754 8.6251
2.5332 -0.4754 12.6137
-0.8891 -0.4949 12.8194
5.9975 -0.5192 12.8385
```


Record 3
This record from OQMD describes an optimized crystal structure of LiHfAlCo. The functional is PBE.

Properties
The energy above the lowest structure with this stoichiometry is 0 meV per atom. The crystal system is cubic.

```
LiHfAlCo
1.0
-0.4385 -0.4592 4.2560
-3.6596 -1.5722 1.6287
-0.0639 -3.9331 1.7444
Al Co Hf Li
1 1 1 1
Cartesian
0.0000 0.0000 0.0000
-3.1215 -4.4734 5.7218
-2.0810 -2.9823 3.8145
-1.0405 -1.4911 1.9073
```


Record 4
This record from OQMD describes an optimized crystal structure of ScCuTcBi. The functional is PBE.

Properties
The energy above the lowest structure with this stoichiometry is 0 meV per atom. The crystal system is cubic.

```
ScCuTcBi
1.0
-2.2597 -4.0820 -0.2774
-3.6636 -0.4530 -2.8668
0.3607 -2.6134 -3.8583
Bi Cu Sc Tc
1 1 1 1
Cartesian
0.0000 0.0000 0.0000
-4.1719 -5.3613 -5.2518
-2.7813 -3.5742 -3.5012
-1.3906 -1.7871 -1.7506
```


Record 5
This record from OQMD describes an optimized crystal structure of Ta7Al5. The functional is PBE.

Properties
The energy above the lowest structure with this stoichiometry is 232 meV per atom. The crystal system is hexagonal.

```
Ta7Al5
1.0
-4.0039 -3.3295 -0.7555
4.6734 -1.8226 1.5891
-4.9961 2.1218 17.1272
Al Ta
10 14
Cartesian
-2.0020 -1.6648 -0.3777
2.3367 -0.9113 0.7945
0.3348 -2.5761 0.4168
-1.8938 -2.4950 2.7079
-2.8272 -2.0986 5.9078
-4.5000 -0.6039 8.1859
-0.1614 0.1496 9.3581
-2.1633 -1.5152 8.9804
-1.4994 -0.9318 12.0530
-2.4329 -0.5353 15.2529
-0.4500 0.1911 1.5427
1.1761 -2.0681 2.8810
-0.3688 -0.6186 4.6809
1.9949 -1.5404 5.4846
-0.0302 -3.2244 5.1025
-0.1123 -1.5209 7.2977
-2.0480 0.8698 7.0209
-2.9481 1.2520 10.1063
-4.2144 -1.5095 10.6631
-4.2964 0.1941 12.8583
-6.3215 -1.4899 12.4761
-3.9578 -2.4118 13.2799
-5.5028 -0.9623 15.0798
-4.5461 1.9307 15.5845
```


Record 6
This record from OQMD describes an optimized crystal structure of Rb2Na2LiReO6. The functional is PBE.

Properties
The crystal system is monoclinic. The total energy comes out at -67.9 eV for the cell shown.

```
Rb2Na2LiReO6
1.0
4.4065 2.1608 -4.1836
-6.1217 -0.8882 -1.8235
-0.3184 4.0578 3.8221
Li Na O Rb Re
1 2 6 2 1
Cartesian
-0.8576 0.6363 -3.0036
2.8445 1.7085 -3.8335
-4.5597 -0.4359 -2.1737
-0.1721 2.3743 -4.0545
-2.6840 1.6468 -3.4914
-0.4023 1.4841 0.1227
-1.6313 3.8464 -2.3078
0.6505 3.6837 1.3064
-1.8615 2.9562 1.8695
0.7965 3.1904 -1.4990
-2.8301 2.1401 -0.6860
-0.1592 2.0289 1.9111
```